# Sc2MnAs

Crystalline Sc2MnAs at its relaxed geometry (PBE, Alexandria via LeMat-Bulk).

abc: 3.6510 3.6510 7.6620
angles: 103.69 103.69 59.95
Closest atoms and distances in Å follow each position.
Fractional positions:
Sc (0.2401, 0.2401, 0.2210)  3 As 2.66, 3 Mn 2.94-2.95
Sc (0.7599, 0.7599, 0.7790)  3 As 2.66, 3 Mn 2.94-2.95
Mn (0.0000, 0.0000, 0.5000)  6 Sc 2.94-2.95
As (0.5000, 0.5000, 0.0000)  6 Sc 2.66

## Properties
As for the total magnetization: 3.72 μB/f.u. For the calculated volume, the calculation gives 21.3 A^3/atom. As for the space-group type: C2/m (12). For the calculated density, the calculation gives 4.29 g/cm3. The calculation puts the formation energy at -1.14 eV per formula unit.